First-principles (GGA-PBE) data for Pr7NdAg4 after structural relaxation, as listed in Alexandria.

DFT total energy, eV per cell: -98.70
M_tot, μB per atom: 0.017

Cell and atoms, written as CIF:
```
data_Pr7NdAg4
_chemical_formula_sum 'Pr14 Nd2 Ag8'
_symmetry_space_group_name_H-M 'C 1 2/m 1'
_symmetry_Int_Tables_number 12
_cell_length_a 14.6651
_cell_length_b 5.8881
_cell_length_c 10.1103
_cell_angle_alpha 90.00
_cell_angle_beta 123.53
_cell_angle_gamma 90.00
loop_
_symmetry_equiv_pos_as_xyz
'x,y,z'
'-x,-y,-z'
'-x,y,-z'
'x,-y,z'
'x+1/2,y+1/2,z'
'-x+1/2,-y+1/2,-z'
'-x+1/2,y+1/2,-z'
'x+1/2,-y+1/2,z'
loop_
_atom_site_label
_atom_site_fract_x
_atom_site_fract_y
_atom_site_fract_z
Pr1 0.0000 0.0000 0.0000
Pr2 0.0643 0.5000 0.3998
Pr3 0.2091 0.5000 0.8919
Pr4 0.2191 0.0000 0.6706
Nd1 0.0000 0.5000 0.0000
Ag1 0.0413 0.0000 0.7338
Ag2 0.1851 0.0000 0.3425
```

First-principles (GGA-PBE) data for BeTe3Pb after structural relaxation, as listed in Alexandria.

DFT total energy, eV per cell: -11.31
Energy relative to the lowest polymorph listed for this composition, meV per atom: 990
M_tot, μB per atom: 0.000

Cell and atoms, written as CIF:
```
data_BeTe3Pb
_chemical_formula_sum 'Be1 Te3 Pb1'
_symmetry_space_group_name_H-M 'P m -3 m'
_symmetry_Int_Tables_number 221
_symmetry_space_group_name_Hall '-P 4 2 3'
_cell_length_a 5.8409
_cell_length_b 5.8409
_cell_length_c 5.8409
_cell_angle_alpha 90.00
_cell_angle_beta 90.00
_cell_angle_gamma 90.00
loop_
_atom_site_label
_atom_site_fract_x
_atom_site_fract_y
_atom_site_fract_z
Be1 0.0000 0.0000 0.0000
Te1 0.0000 0.5000 0.5000
Pb1 0.5000 0.5000 0.5000
```

First-principles (GGA-PBE) data for B2C after structural relaxation, as listed in Alexandria.

DFT total energy, eV per cell: -85.37
Energy relative to the lowest polymorph listed for this composition, meV per atom: 226
M_tot, μB per atom: 0.000

Cell and atoms, written as CIF:
```
data_B2C
_chemical_formula_sum 'B8 C4'
_symmetry_space_group_name_H-M 'P m m a'
_symmetry_Int_Tables_number 51
_cell_length_a 8.2826
_cell_length_b 2.6894
_cell_length_c 4.1920
_cell_angle_alpha 90.00
_cell_angle_beta 90.00
_cell_angle_gamma 90.00
loop_
_symmetry_equiv_pos_as_xyz
'x,y,z'
'-x,-y,-z'
'-x+1/2,-y,z'
'x+1/2,y,-z'
'x+1/2,-y,-z'
'-x+1/2,y,z'
'-x,y,-z'
'x,-y,z'
loop_
_atom_site_label
_atom_site_fract_x
_atom_site_fract_y
_atom_site_fract_z
B1 0.1264 0.0000 0.2473
B2 0.2500 0.0000 0.5817
B3 0.2500 0.5000 0.8727
C1 0.0775 0.5000 0.0945
```

First-principles (GGA-PBE) data for Y2Re2I after structural relaxation, as listed in Alexandria.

DFT total energy, eV per cell: -78.86
Energy relative to the lowest polymorph listed for this composition, meV per atom: 0
M_tot, μB per atom: 0.000

Cell and atoms, written as CIF:
```
data_Y2Re2I
_chemical_formula_sum 'Y4 Re4 I2'
_symmetry_space_group_name_H-M 'I 4/m m m'
_symmetry_Int_Tables_number 139
_symmetry_space_group_name_Hall '-I 4 2'
_cell_length_a 3.6998
_cell_length_b 3.6998
_cell_length_c 18.0772
_cell_angle_alpha 90.00
_cell_angle_beta 90.00
_cell_angle_gamma 90.00
loop_
_atom_site_label
_atom_site_fract_x
_atom_site_fract_y
_atom_site_fract_z
Y1 0.0000 0.0000 0.1209
Re1 0.0000 0.5000 0.2500
I1 0.0000 0.0000 0.5000
```

First-principles (GGA-PBE) data for LiTe2IN after structural relaxation, as listed in Alexandria.

DFT total energy, eV per cell: -15.58
Energy relative to the lowest polymorph listed for this composition, meV per atom: 0
M_tot, μB per atom: 0.000

Cell and atoms, written as CIF:
```
data_LiTe2IN
_chemical_formula_sum 'Li1 Te2 I1 N1'
_symmetry_space_group_name_H-M 'P 4/m m m'
_symmetry_Int_Tables_number 123
_symmetry_space_group_name_Hall '-P 4 2'
_cell_length_a 4.8775
_cell_length_b 4.8775
_cell_length_c 4.9410
_cell_angle_alpha 90.00
_cell_angle_beta 90.00
_cell_angle_gamma 90.00
loop_
_atom_site_label
_atom_site_fract_x
_atom_site_fract_y
_atom_site_fract_z
Li1 0.0000 0.0000 0.0000
Te1 0.0000 0.5000 0.5000
I1 0.5000 0.5000 0.0000
N1 0.5000 0.5000 0.5000
```

First-principles (GGA-PBE) data for LaTaW2 after structural relaxation, as listed in Alexandria.

DFT total energy, eV per cell: -41.16
Energy relative to the lowest polymorph listed for this composition, meV per atom: 0
M_tot, μB per atom: 0.000

Cell and atoms, written as CIF:
```
data_LaTaW2
_chemical_formula_sum 'La1 Ta1 W2'
_symmetry_space_group_name_H-M 'P 4 m m'
_symmetry_Int_Tables_number 99
_cell_length_a 3.2158
_cell_length_b 3.2158
_cell_length_c 8.0211
_cell_angle_alpha 90.00
_cell_angle_beta 90.00
_cell_angle_gamma 90.00
loop_
_symmetry_equiv_pos_as_xyz
'x,y,z'
'-y,x,z'
'-x,-y,z'
'y,-x,z'
'-x,y,z'
'y,x,z'
'x,-y,z'
'-y,-x,z'
loop_
_atom_site_label
_atom_site_fract_x
_atom_site_fract_y
_atom_site_fract_z
La1 0.0000 0.0000 0.0000
Ta1 0.5000 0.5000 0.3200
W1 0.0000 0.0000 0.5220
W2 0.5000 0.5000 0.7013
```